An optimized crystal structure of CeNd2Sn2Hg2, computed with PBE.

```
CeNd2Sn2Hg2
1.0
-4.470 -1.997 1.210
-2.972 -1.901 -3.604
1.489 -9.535 0.273
Sn Hg Nd Ce
2 2 2 1
Direct
0.729 0.729 0.814 Sn
0.271 0.271 0.186 Sn
0.426 0.426 0.723 Hg
0.574 0.574 0.277 Hg
0.130 0.130 0.610 Nd
0.870 0.870 0.390 Nd
0.000 0.000 0.000 Ce
```

Output
VASP energy ... -26.3 eV for the cell shown
E_form ... -0.324 eV/atom
Space group ... No. 166
Calculated density ... 8.7 Mg/m³